No. 1
A plane-wave DFT calculation with PBE was carried out for crystalline Tb5Tc2Hg2 at its relaxed geometry.

The structure in CIF format:
```
data_Tb5Tc2Hg2
_space_group_name_H-M_alt 'C m c e'
_space_group_IT_number 64
_space_group_name_Hall '-C 2ac 2'
_cell_length_a 16.7482
_cell_length_b 7.3643
_cell_length_c 7.4932
_cell_angle_alpha 90.00
_cell_angle_beta 90.00
_cell_angle_gamma 90.00
loop_
_atom_site_label
_atom_site_type_symbol
_atom_site_fract_x
_atom_site_fract_y
_atom_site_fract_z
Tb1 Tb 0.0000 0.0000 0.0000
Tb2 Tb 0.1262 0.1802 0.3201
Tc1 Tc 0.0000 0.1095 0.6173
Hg1 Hg 0.2219 0.0000 0.0000
```

Results
D(E_F): 1.139 states/eV per atom
Uncorrected energy: -5.17 eV per atom
Crystal system: orthorhombic
Spin magnetization: 0.00 Bohr magnetons per cell
DFT formation energy: -231.9 meV/atom

---

No. 2
A plane-wave DFT calculation with PBE was carried out for crystalline AlTcP2Cl at its relaxed geometry.

The structure in CIF format:
```
data_AlTcP2Cl
_space_group_name_H-M_alt 'P 4/m m m'
_space_group_IT_number 123
_space_group_name_Hall '-P 4 2'
_cell_length_a 4.5505
_cell_length_b 4.5505
_cell_length_c 5.2537
_cell_angle_alpha 90.00
_cell_angle_beta 90.00
_cell_angle_gamma 90.00
loop_
_atom_site_label
_atom_site_type_symbol
_atom_site_fract_x
_atom_site_fract_y
_atom_site_fract_z
Al1 Al 0.0000 0.0000 0.0000
Tc1 Tc 0.5000 0.5000 0.5000
P1 P 0.0000 0.5000 0.5000
Cl1 Cl 0.5000 0.5000 0.0000
```

Results
ΔE_f (raw): 0.3160 eV/atom
D(E_F): 0.579 states/eV per atom
Uncorrected energy: -5.04 eV per atom
Crystal system: tetragonal
Spin magnetization: 0.00 Bohr magnetons per cell

---

No. 3
A plane-wave DFT calculation with PBE was carried out for crystalline Al2BrCl at its relaxed geometry.

The structure in CIF format:
```
data_Al2BrCl
_space_group_name_H-M_alt 'F m -3 m'
_space_group_IT_number 225
_space_group_name_Hall '-F 4 2 3'
_cell_length_a 7.4330
_cell_length_b 7.4330
_cell_length_c 7.4330
_cell_angle_alpha 90.00
_cell_angle_beta 90.00
_cell_angle_gamma 90.00
loop_
_atom_site_label
_atom_site_type_symbol
_atom_site_fract_x
_atom_site_fract_y
_atom_site_fract_z
Al1 Al 0.2500 0.2500 0.2500
Br1 Br 0.0000 0.0000 0.0000
Cl1 Cl 0.0000 0.0000 0.5000
```

Results
ΔE_f (raw): -0.1387 eV/atom
D(E_F): 0.000 states/eV per atom
Uncorrected energy: -2.89 eV per atom
Crystal system: cubic
Spin magnetization: 0.00 Bohr magnetons per cell

---

No. 4
A plane-wave DFT calculation with PBE was carried out for crystalline Pm4SmH8 at its relaxed geometry.

The structure in CIF format:
```
data_Pm4SmH8
_space_group_name_H-M_alt 'P m -3 m'
_space_group_IT_number 221
_space_group_name_Hall '-P 4 2 3'
_cell_length_a 5.8443
_cell_length_b 5.8443
_cell_length_c 5.8443
_cell_angle_alpha 90.00
_cell_angle_beta 90.00
_cell_angle_gamma 90.00
loop_
_atom_site_label
_atom_site_type_symbol
_atom_site_fract_x
_atom_site_fract_y
_atom_site_fract_z
Pm1 Pm 0.0000 0.0000 0.0000
Pm2 Pm 0.0000 0.5000 0.5000
Sm1 Sm 0.5000 0.5000 0.5000
H1 H 0.2614 0.2614 0.2614
```

Results
D(E_F): 0.652 states/eV per atom
Uncorrected energy: -4.08 eV per atom
Crystal system: cubic
Spin magnetization: 1.53 Bohr magnetons per cell

---

No. 5
A plane-wave DFT calculation with PBE was carried out for crystalline La4ReAg at its relaxed geometry.

The structure in CIF format:
```
data_La4ReAg
_space_group_name_H-M_alt 'F -4 3 m'
_space_group_IT_number 216
_space_group_name_Hall 'F -4 2 3'
_cell_length_a 8.7423
_cell_length_b 8.7423
_cell_length_c 8.7423
_cell_angle_alpha 90.00
_cell_angle_beta 90.00
_cell_angle_gamma 90.00
loop_
_atom_site_label
_atom_site_type_symbol
_atom_site_fract_x
_atom_site_fract_y
_atom_site_fract_z
La1 La 0.1237 0.1237 0.1237
Re1 Re 0.2500 0.2500 0.7500
Ag1 Ag 0.0000 0.0000 0.5000
```

Results
D(E_F): 1.541 states/eV per atom
Uncorrected energy: -4.91 eV per atom
Crystal system: cubic
Spin magnetization: 0.03 Bohr magnetons per cell
DFT formation energy: 924.5 meV/atom

---

No. 6
A plane-wave DFT calculation with PBE was carried out for crystalline CdP2Pb2 at its relaxed geometry.

The structure in CIF format:
```
data_CdP2Pb2
_space_group_name_H-M_alt 'P 4/m b m'
_space_group_IT_number 127
_space_group_name_Hall '-P 4 2ab'
_cell_length_a 7.8767
_cell_length_b 7.8767
_cell_length_c 3.9894
_cell_angle_alpha 90.00
_cell_angle_beta 90.00
_cell_angle_gamma 90.00
loop_
_atom_site_label
_atom_site_type_symbol
_atom_site_fract_x
_atom_site_fract_y
_atom_site_fract_z
Cd1 Cd 0.0000 0.0000 0.0000
P1 P 0.1738 0.3262 0.0000
Pb1 Pb 0.1470 0.6470 0.5000
```

Results
D(E_F): 0.666 states/eV per atom
Uncorrected energy: -3.60 eV per atom
Crystal system: tetragonal
Spin magnetization: 0.00 Bohr magnetons per cell
DFT formation energy: 234.6 meV/atom

---

No. 7
A plane-wave DFT calculation with PBE was carried out for crystalline UFeSi2Ir at its relaxed geometry.

The structure in CIF format:
```
data_UFeSi2Ir
_space_group_name_H-M_alt 'I -4 m 2'
_space_group_IT_number 119
_space_group_name_Hall 'I -4 -2'
_cell_length_a 4.0082
_cell_length_b 4.0082
_cell_length_c 9.7376
_cell_angle_alpha 90.00
_cell_angle_beta 90.00
_cell_angle_gamma 90.00
loop_
_atom_site_label
_atom_site_type_symbol
_atom_site_fract_x
_atom_site_fract_y
_atom_site_fract_z
U1 U 0.0000 0.0000 0.0000
Fe1 Fe 0.0000 0.5000 0.2500
Si1 Si 0.0000 0.0000 0.3778
Ir1 Ir 0.0000 0.5000 0.7500
```

Results
ΔE_f (raw): -0.6495 eV/atom
D(E_F): 1.267 states/eV per atom
Uncorrected energy: -8.54 eV per atom
Crystal system: tetragonal
Spin magnetization: 3.15 Bohr magnetons per cell

---

No. 8
A plane-wave DFT calculation with PBE was carried out for crystalline PrGdGaHg at its relaxed geometry.

The structure in CIF format:
```
data_PrGdGaHg
_space_group_name_H-M_alt 'F -4 3 m'
_space_group_IT_number 216
_space_group_name_Hall 'F -4 2 3'
_cell_length_a 7.5045
_cell_length_b 7.5045
_cell_length_c 7.5045
_cell_angle_alpha 90.00
_cell_angle_beta 90.00
_cell_angle_gamma 90.00
loop_
_atom_site_label
_atom_site_type_symbol
_atom_site_fract_x
_atom_site_fract_y
_atom_site_fract_z
Pr1 Pr 0.0000 0.0000 0.0000
Gd1 Gd 0.0000 0.0000 0.5000
Ga1 Ga 0.2500 0.2500 0.2500
Hg1 Hg 0.2500 0.2500 0.7500
```

Results
D(E_F): 0.831 states/eV per atom
Uncorrected energy: -6.06 eV per atom
Crystal system: cubic
Spin magnetization: 32.21 Bohr magnetons per cell
DFT formation energy: -515.5 meV/atom

---

No. 9
A plane-wave DFT calculation with PBE was carried out for crystalline KTaNi2 at its relaxed geometry.

The structure in CIF format:
```
data_KTaNi2
_space_group_name_H-M_alt 'F m -3 m'
_space_group_IT_number 225
_space_group_name_Hall '-F 4 2 3'
_cell_length_a 6.4843
_cell_length_b 6.4843
_cell_length_c 6.4843
_cell_angle_alpha 90.00
_cell_angle_beta 90.00
_cell_angle_gamma 90.00
loop_
_atom_site_label
_atom_site_type_symbol
_atom_site_fract_x
_atom_site_fract_y
_atom_site_fract_z
K1 K 0.0000 0.0000 0.0000
Ta1 Ta 0.0000 0.0000 0.5000
Ni1 Ni 0.2500 0.2500 0.2500
```

Results
D(E_F): 0.929 states/eV per atom
Uncorrected energy: -5.12 eV per atom
Crystal system: cubic
Spin magnetization: 0.00 Bohr magnetons per cell
DFT formation energy: 1009.8 meV/atom

---

No. 10
A plane-wave DFT calculation with PBE was carried out for crystalline LiMgAs at its relaxed geometry.

The structure in CIF format:
```
data_LiMgAs
_space_group_name_H-M_alt 'F m m m'
_space_group_IT_number 69
_space_group_name_Hall '-F 2 2'
_cell_length_a 6.0409
_cell_length_b 8.7131
_cell_length_c 9.2585
_cell_angle_alpha 90.00
_cell_angle_beta 90.00
_cell_angle_gamma 90.00
loop_
_atom_site_label
_atom_site_type_symbol
_atom_site_fract_x
_atom_site_fract_y
_atom_site_fract_z
Li1 Li 0.0000 0.2000 0.0000
Mg1 Mg 0.0000 0.0000 0.3358
As1 As 0.2500 0.2500 0.2500
```

Results
D(E_F): 0.269 states/eV per atom
Uncorrected energy: -3.10 eV per atom
Crystal system: orthorhombic
Spin magnetization: 0.00 Bohr magnetons per cell
DFT formation energy: -377.0 meV/atom